The following is a PBE with a Hubbard U calculation of an optimized crystal structure of TmMgWO6, from Alexandria via LeMat-Bulk.

CIF file:
```
data_TmMgWO6
_space_group_name_H-M_alt 'P 3 1 2'
_space_group_IT_number 149
_cell_length_a 5.4386
_cell_length_b 5.4386
_cell_length_c 4.4503
_cell_angle_alpha 90.00
_cell_angle_beta 90.00
_cell_angle_gamma 120.00
loop_
_space_group_symop_operation_xyz
'x,y,z'
'-y,x-y,z'
'-x+y,-x,z'
'-y,-x,-z'
'-x+y,y,-z'
'x,x-y,-z'
loop_
_atom_site_label
_atom_site_fract_x
_atom_site_fract_y
_atom_site_fract_z
Tm1 0.0000 0.0000 0.0000
Mg1 0.6667 0.3333 0.5000
W1 0.3333 0.6667 0.0000
O1 0.0251 0.3705 0.2380
```

Output
As for the total magnetization: 0.1142 μB/atom. As for the total energy: -64.221 eV/f.u.